A plane-wave DFT calculation with PBE-GGA was carried out for a geometry-optimized NpSnOsRh structure.

Cell and atoms, written as POSCAR:
```
NpSnOsRh
1.0
0.000 3.335 3.335
3.335 0.000 3.335
3.335 3.335 0.000
Np Sn Os Rh
1 1 1 1
Direct
0.000 0.000 0.000
0.500 0.500 0.500
0.250 0.250 0.250
0.750 0.750 0.750
```

Values from the calculation:
Crystal system ... cubic
ΔE_f ... -0.09 eV/atom
E_tot ... -35.90 eV/cell
Calculated density ... 14.53 g/cm3